Fe2NiO3: relaxed, PBE+U.

Calculated values
V = 246 Å³/cell
Crystal system = orthorhombic
E_tot = -6.02 eV/atom

CIF file:
```
data_Fe2NiO3
_chemical_formula_sum 'Fe8 Ni4 O12'
_cell_length_a 4.410
_cell_length_b 13.055
_cell_length_c 4.272
_cell_angle_alpha 90.00
_cell_angle_beta 90.00
_cell_angle_gamma 90.00
_symmetry_space_group_name_H-M 'F m m 2'
_symmetry_Int_Tables_number 42
_symmetry_space_group_name_Hall 'F 2 -2'
loop_
_atom_site_label
_atom_site_fract_x
_atom_site_fract_y
_atom_site_fract_z
Fe1 0.000 0.165 0.000
Ni1 0.000 0.000 0.508
O1 0.000 0.000 0.009
O2 0.000 0.163 0.501
```